Entry 1:
Entry from Alexandria: a geometry-optimized CuPbI2 structure (PBE).

Properties
energy relative to the elements, uncorrected = 194.6 meV per atom
magnetization = 0.000 μB/cell
uncorrected energy = -2.532 eV/atom
space-group type = Fm-3m, No. 225

a = 5.5483 Å, b = 5.5483 Å, c = 5.5483 Å
α = 60.00°, β = 60.00°, γ = 60.00°
Last column: nearest neighbours and their distance in Å.
Atoms (fractional coordinates):
Cu  0.0000  0.0000  0.0000  8 I 3.40
I  0.7500  0.7500  0.7500  4 Pb 3.40, 4 Cu 3.40
I  0.2500  0.2500  0.2500  4 Pb 3.40, 4 Cu 3.40
Pb  0.5000  0.5000  0.5000  8 I 3.40

---

Entry 2:
Entry from Alexandria: a geometry-optimized NdIn7Ag5 structure (PBE).

Properties
energy relative to the elements = -0.146 eV/atom
magnetization = 0.000 μB/cell
uncorrected energy = -3.084 eV/atom
space-group type = Imm2, No. 44

a = 5.9048 Å, b = 7.6136 Å, c = 7.6136 Å
α = 82.61°, β = 67.18°, γ = 67.18°
Last column: nearest neighbours and their distance in Å.
Atoms (fractional coordinates):
In  0.6468  0.3532  0.3532  3 In 2.98-3.19, 4 Ag 3.10
In  0.5080  0.8022  0.1819  5 Ag 2.88-2.97, 1 In 3.01
Ag  0.0037  0.4980  0.9981  7 In 2.88-3.10, 3 Ag 2.93-2.97
In  0.2709  0.2291  0.2291  4 Ag 2.91, 6 In 3.01-3.19
Nd  0.9960  0.0040  0.0040  10 In 3.40-3.69, 6 Ag 3.75-3.77
In  0.5080  0.1819  0.8022  5 Ag 2.88-2.97, 1 In 3.01
Ag  0.0037  0.9981  0.4980  7 In 2.88-3.10, 3 Ag 2.93-2.97
In  0.3427  0.6573  0.6573  1 In 2.98, 6 Ag 3.04-3.15
In  0.9939  0.3478  0.6643  5 Ag 2.95-3.06, 2 In 3.15-3.18
Ag  0.5002  0.4980  0.9981  7 In 2.88-3.10, 3 Ag 2.93-2.97
Ag  0.7318  0.7682  0.7682  6 In 2.91-3.15, 4 Ag 2.93
In  0.9939  0.6643  0.3478  5 Ag 2.95-3.06, 2 In 3.15-3.18
Ag  0.5002  0.9981  0.4980  7 In 2.88-3.10, 3 Ag 2.93-2.97

---

Entry 3:
Entry from Alexandria: a geometry-optimized TaFe2Ir structure (PBE).

Properties
energy relative to the elements = 0.063 eV/atom
magnetization = 5.312 μB/cell
uncorrected energy = -9.347 eV/atom
space-group type = R3m, No. 160

a = 8.5662 Å, b = 8.5662 Å, c = 8.5662 Å
α = 18.94°, β = 18.94°, γ = 18.94°
Last column: nearest neighbours and their distance in Å.
Atoms (fractional coordinates):
Ir  0.5036  0.5036  0.5036  3 Fe 2.67, 3 Ta 2.77, 6 Ir 2.82
Ta  0.7482  0.7482  0.7482  3 Fe 2.74, 3 Ir 2.77, 6 Ta 2.82
Fe  0.2540  0.2540  0.2540  3 Fe 2.47, 3 Ir 2.67
Fe  0.9942  0.9942  0.9942  3 Fe 2.47, 3 Ta 2.74

---

Entry 4:
Entry from Alexandria: a geometry-optimized Ce3Er2PuSe6 structure (PBE).

Properties
energy relative to the elements, uncorrected = -1744.6 meV per atom
magnetization = 8.954 μB/cell
uncorrected energy = -6.925 eV/atom
space-group type = C2/m, No. 12

a = 4.1116 Å, b = 8.3428 Å, c = 9.2791 Å
α = 103.73°, β = 102.80°, γ = 90.00°
Last column: nearest neighbours and their distance in Å.
Atoms (fractional coordinates):
Ce  0.1655  0.8331  0.3310  6 Se 2.96-3.00
Se  0.0038  0.2474  0.0076  1 Er 2.85, 2 Pu 2.90, 3 Ce 2.96-2.97
Er  0.1660  0.3318  0.3319  6 Se 2.85-2.87
Ce  0.5000  0.5000  0.0000  6 Se 2.96-2.99
Se  0.9962  0.7526  0.9924  1 Er 2.85, 2 Pu 2.90, 3 Ce 2.96-2.97
Se  0.6660  0.0932  0.3319  2 Er 2.86, 1 Pu 2.91, 3 Ce 2.96-2.99
Er  0.8340  0.6682  0.6681  6 Se 2.85-2.87
Se  0.3296  0.4256  0.6592  3 Er 2.87, 3 Ce 2.99-3.00
Se  0.6704  0.5744  0.3408  3 Er 2.87, 3 Ce 2.99-3.00
Pu  0.5000  0.0000  0.0000  6 Se 2.90-2.91
Se  0.3340  0.9068  0.6681  2 Er 2.86, 1 Pu 2.91, 3 Ce 2.96-2.99
Ce  0.8345  0.1669  0.6690  6 Se 2.96-3.00